Nd2Sm4ErSc: relaxed, GGA-PBE.

Cell lengths 5.0660, 5.0807, 10.0868 Å; angles 90.00, 90.06, 90.00 degrees
Space group P2/m (No. 10)
Symmetry-distinct sites (fractional):
Nd  0.0000  0.0000  0.0000 [1 per cell]
Nd  0.5000  0.5000  0.5000 [1 per cell]
Sm  0.9998  0.5000  0.2454 [2 per cell]
Sm  0.5001  0.0000  0.2464 [2 per cell]
Er  0.0000  0.0000  0.5000 [1 per cell]
Sc  0.5000  0.5000  0.0000 [1 per cell]

Summary:
size of the total moment = 0.00 μB/cell
ΔH_f (0 K) = 0.727 kcal/mol of atoms
raw total energy = -4.882 eV per atom
volume = 259.6 Å³/cell